No. 1
The following is a PBE calculation of crystalline SrOs2 at its relaxed geometry, from Alexandria via LeMat-Bulk.

Values from the calculation:
Raw total energy (eV/atom): -7.407
Space group: Pnma, No. 62
Total magnetic moment (μB/f.u.): 0.000
Formation energy (meV per atom): 640

Unit cell a=5.8379 b=4.2276 c=11.5637 alpha=90.00 beta=90.00 gamma=90.00
With the nearest neighbours (Å) after each atom.
Sites, in units of the cell vectors:
Sr1 0.1180 0.2500 0.1369  6 Os 3.07-3.40
Sr2 0.3820 0.7500 0.6369  6 Os 3.07-3.40
Sr3 0.6180 0.2500 0.3631  6 Os 3.07-3.40
Sr4 0.8820 0.7500 0.8631  6 Os 3.07-3.40
Os1 0.1143 0.2500 0.4500  3 Os 2.40-2.68
Os2 0.1220 0.7500 0.3512  3 Os 2.40-2.68
Os3 0.3780 0.2500 0.8512  3 Os 2.40-2.68
Os4 0.3857 0.7500 0.9500  3 Os 2.40-2.68
Os5 0.6143 0.2500 0.0500  3 Os 2.40-2.68
Os6 0.6220 0.7500 0.1488  3 Os 2.40-2.68
Os7 0.8780 0.2500 0.6488  3 Os 2.40-2.68
Os8 0.8857 0.7500 0.5500  3 Os 2.40-2.68

---

No. 2
The following is a PBE calculation of crystalline La2CdGaIr at its relaxed geometry, from Alexandria via LeMat-Bulk.

Values from the calculation:
Raw total energy (eV/atom): -5.005
Space group: P4/mmm, No. 123
Distance to the lowest polymorph of the same formula (meV/atom): 93
Total magnetic moment (μB/f.u.): 0.000
Formation energy (meV per atom): -474

Unit cell a=5.5886 b=5.5886 c=4.8321 alpha=90.00 beta=90.00 gamma=90.00
With the nearest neighbours (Å) after each atom.
Sites, in units of the cell vectors:
La1 0.0000 0.5000 0.0000  2 Ir 2.79
La2 0.5000 0.0000 0.0000  2 Ir 2.79
Cd1 0.0000 0.0000 0.5000  8 La 3.69, 4 Ga 3.95
Ga1 0.5000 0.5000 0.5000  2 Ir 2.42
Ir1 0.5000 0.5000 0.0000  2 Ga 2.42

---

> Look up the total magnetic moment of the first one.

0.000 μB/f.u.

---

> What is the formula in the first record?

SrOs2